# 1
The following is a GGA-PBE calculation of crystalline Y6CdPt at its relaxed geometry, from the Alexandria database.

Values from the calculation:
Total magnetic moment in μB per formula unit: 0.00
D(E_F) in states/eV/atom: 1.44
Formation energy from the elements in eV/atom: -0.16
Space-group type: P-1

a = 7.011 Å, b = 7.022 Å, c = 7.374 Å
α = 61.66°, β = 61.76°, γ = 60.00°
Fractional coordinates of all 8 atoms:
Y  0.776  0.042  0.753
Y  0.956  0.573  0.247
Y  0.427  0.777  0.753
Y  0.044  0.427  0.753
Y  0.573  0.223  0.247
Y  0.224  0.958  0.247
Cd  0.500  0.500  0.500
Pt  0.000  0.000  0.000

=====

# 2
The following is a GGA-PBE calculation of crystalline YCdPt6 at its relaxed geometry, from the Alexandria database.

Values from the calculation:
Total magnetic moment in μB per formula unit: 0.00
D(E_F) in states/eV/atom: 1.07
Formation energy from the elements in eV/atom: -0.59
Space-group type: P4/mmm

a = 4.091 Å, b = 4.091 Å, c = 8.150 Å
α = 90.00°, β = 90.00°, γ = 90.00°
Fractional coordinates of all 8 atoms:
Pt  0.500  0.500  0.000
Pt  0.500  0.000  0.256
Pt  0.500  0.000  0.744
Pt  0.000  0.500  0.744
Pt  0.000  0.500  0.256
Pt  0.500  0.500  0.500
Cd  0.000  0.000  0.500
Y  0.000  0.000  0.000

=====

# 3
The following is a GGA-PBE calculation of crystalline YCdPt at its relaxed geometry, from the Alexandria database.

Values from the calculation:
Total magnetic moment in μB per formula unit: 0.00
D(E_F) in states/eV/atom: 0.65
Formation energy from the elements in eV/atom: -0.85
Space-group type: Pmma

a = 3.930 Å, b = 7.738 Å, c = 13.183 Å
α = 90.00°, β = 90.00°, γ = 90.00°
Fractional coordinates of all 18 atoms:
Pt  0.500  0.072  0.403
Pt  0.500  0.928  0.597
Pt  0.500  0.928  0.903
Pt  0.000  0.437  0.750
Pt  0.500  0.072  0.097
Pt  0.000  0.563  0.250
Y  0.000  0.778  0.050
Y  0.000  0.222  0.550
Y  0.000  0.778  0.450
Y  0.000  0.179  0.250
Y  0.000  0.222  0.950
Y  0.000  0.821  0.750
Cd  0.500  0.442  0.111
Cd  0.500  0.818  0.250
Cd  0.500  0.558  0.889
Cd  0.500  0.442  0.389
Cd  0.500  0.558  0.611
Cd  0.500  0.182  0.750

=====

# 4
The following is a GGA-PBE calculation of crystalline Y6Cd2Pt at its relaxed geometry, from the Alexandria database.

Values from the calculation:
Total magnetic moment in μB per formula unit: 0.00
D(E_F) in states/eV/atom: 1.40
ΔE to the lowest computed polymorph in meV per atom: 0
Formation energy from the elements in eV/atom: -0.42
Space-group type: Amm2

a = 3.786 Å, b = 8.779 Å, c = 8.739 Å
α = 120.15°, β = 90.00°, γ = 90.00°
Fractional coordinates of all 9 atoms:
Cd  0.000  0.666  0.334
Cd  0.000  0.332  0.666
Y  0.000  0.250  0.000
Y  0.500  0.999  0.605
Y  0.000  0.999  0.246
Y  0.500  0.394  0.395
Y  0.000  0.753  0.754
Y  0.500  0.604  0.000
Pt  0.500  0.003  0.000

=====

# 5
The following is a GGA-PBE calculation of crystalline Y7Cd2Pt2 at its relaxed geometry, from the Alexandria database.

Values from the calculation:
Total magnetic moment in μB per formula unit: 0.00
D(E_F) in states/eV/atom: 1.12
Formation energy from the elements in eV/atom: -0.48
Space-group type: Cmmm

a = 6.871 Å, b = 7.145 Å, c = 6.871 Å
α = 90.00°, β = 107.08°, γ = 90.00°
Fractional coordinates of all 11 atoms:
Y  0.000  0.254  0.500
Y  0.500  0.746  0.000
Y  0.500  0.254  0.000
Y  0.000  0.000  0.000
Y  0.500  0.248  0.500
Y  0.000  0.746  0.500
Y  0.500  0.752  0.500
Pt  0.712  0.000  0.288
Pt  0.288  0.000  0.712
Cd  0.825  0.500  0.825
Cd  0.175  0.500  0.175

=====

# 6
The following is a GGA-PBE calculation of crystalline YCd3Pt2 at its relaxed geometry, from the Alexandria database.

Values from the calculation:
Total magnetic moment in μB per formula unit: 0.00
D(E_F) in states/eV/atom: 0.41
Formation energy from the elements in eV/atom: -0.57
Space-group type: Immm

a = 3.921 Å, b = 8.629 Å, c = 8.628 Å
α = 66.99°, β = 76.87°, γ = 76.87°
Fractional coordinates of all 12 atoms:
Cd  0.000  0.353  0.647
Cd  0.672  0.534  0.121
Cd  0.328  0.466  0.879
Cd  0.328  0.879  0.466
Cd  0.672  0.121  0.534
Cd  0.000  0.647  0.353
Pt  0.793  0.707  0.707
Pt  0.500  0.142  0.858
Pt  0.500  0.858  0.142
Pt  0.207  0.293  0.293
Y  0.132  0.868  0.868
Y  0.868  0.132  0.132

=====

# 7
The following is a GGA-PBE calculation of crystalline Y4Cd5Pt2 at its relaxed geometry, from the Alexandria database.

Values from the calculation:
Total magnetic moment in μB per formula unit: 0.00
D(E_F) in states/eV/atom: 0.74
Formation energy from the elements in eV/atom: -0.63
Space-group type: P2/m

a = 3.607 Å, b = 7.687 Å, c = 9.782 Å
α = 93.78°, β = 90.00°, γ = 90.00°
Fractional coordinates of all 11 atoms:
Y  0.500  0.833  0.144
Y  0.500  0.775  0.553
Y  0.500  0.225  0.447
Y  0.500  0.167  0.856
Cd  0.000  0.546  0.318
Cd  0.000  0.810  0.849
Cd  0.000  0.190  0.151
Cd  0.000  0.454  0.682
Cd  0.000  0.500  0.000
Pt  0.000  0.930  0.359
Pt  0.000  0.070  0.641

=====

# 8
The following is a GGA-PBE calculation of crystalline Y2Cd3Pt2 at its relaxed geometry, from the Alexandria database.

Values from the calculation:
Total magnetic moment in μB per formula unit: 0.00
D(E_F) in states/eV/atom: 0.37
Formation energy from the elements in eV/atom: -0.72
Space-group type: C2/m

a = 3.977 Å, b = 5.494 Å, c = 7.752 Å
α = 94.62°, β = 90.00°, γ = 111.22°
Fractional coordinates of all 7 atoms:
Pt  0.095  0.190  0.638
Pt  0.905  0.810  0.362
Y  0.622  0.245  0.357
Y  0.378  0.755  0.643
Cd  0.695  0.389  0.870
Cd  0.000  0.000  0.000
Cd  0.305  0.611  0.130

=====

# 9
The following is a GGA-PBE calculation of crystalline YCdPt2 at its relaxed geometry, from the Alexandria database.

Values from the calculation:
Total magnetic moment in μB per formula unit: 0.00
D(E_F) in states/eV/atom: 0.40
Formation energy from the elements in eV/atom: -0.60
Space-group type: F-43m

a = 4.797 Å, b = 4.797 Å, c = 4.797 Å
α = 60.00°, β = 60.00°, γ = 60.00°
Fractional coordinates of all 4 atoms:
Y  0.250  0.250  0.250
Pt  0.750  0.750  0.750
Pt  0.000  0.000  0.000
Cd  0.500  0.500  0.500

=====

# 10
The following is a GGA-PBE calculation of crystalline Y11Cd9Pt4 at its relaxed geometry, from the Alexandria database.

Values from the calculation:
Total magnetic moment in μB per formula unit: 0.00
D(E_F) in states/eV/atom: 0.88
Formation energy from the elements in eV/atom: -0.68
Space-group type: Cmmm

a = 3.657 Å, b = 13.261 Å, c = 13.261 Å
α = 112.93°, β = 90.00°, γ = 90.00°
Fractional coordinates of all 24 atoms:
Cd  0.500  0.156  0.634
Cd  0.500  0.070  0.213
Cd  0.500  0.213  0.070
Cd  0.500  0.366  0.844
Cd  0.500  0.500  0.500
Cd  0.500  0.634  0.156
Cd  0.500  0.844  0.366
Cd  0.500  0.787  0.930
Cd  0.500  0.930  0.787
Y  0.000  0.585  0.924
Y  0.000  0.163  0.837
Y  0.000  0.371  0.629
Y  0.000  0.000  0.000
Y  0.000  0.837  0.163
Y  0.000  0.924  0.585
Y  0.000  0.076  0.415
Y  0.000  0.415  0.076
Y  0.000  0.695  0.695
Y  0.000  0.305  0.305
Y  0.000  0.629  0.371
Pt  0.500  0.250  0.449
Pt  0.500  0.449  0.250
Pt  0.500  0.750  0.551
Pt  0.500  0.551  0.750

=====

# 11
The following is a GGA-PBE calculation of crystalline Y2CdPt9 at its relaxed geometry, from the Alexandria database.

Values from the calculation:
Total magnetic moment in μB per formula unit: 0.00
D(E_F) in states/eV/atom: 1.05
ΔE to the lowest computed polymorph in meV per atom: 0
Formation energy from the elements in eV/atom: -0.72
Space-group type: P4/mmm

a = 4.106 Å, b = 4.106 Å, c = 12.267 Å
α = 90.00°, β = 90.00°, γ = 90.00°
Fractional coordinates of all 12 atoms:
Pt  0.500  0.500  0.331
Pt  0.500  0.000  0.500
Pt  0.000  0.500  0.500
Pt  0.500  0.500  0.000
Pt  0.000  0.500  0.162
Pt  0.000  0.500  0.838
Pt  0.500  0.000  0.162
Pt  0.500  0.500  0.669
Pt  0.500  0.000  0.838
Cd  0.000  0.000  0.000
Y  0.000  0.000  0.670
Y  0.000  0.000  0.330

=====

# 12
The following is a GGA-PBE calculation of crystalline YCd2Pt6 at its relaxed geometry, from the Alexandria database.

Values from the calculation:
Total magnetic moment in μB per formula unit: 0.00
D(E_F) in states/eV/atom: 0.86
Formation energy from the elements in eV/atom: 0.12
Space-group type: Fm-3m

a = 6.397 Å, b = 6.397 Å, c = 6.397 Å
α = 60.00°, β = 60.00°, γ = 60.00°
Fractional coordinates of all 9 atoms:
Pt  0.712  0.288  0.712
Pt  0.288  0.288  0.712
Pt  0.288  0.712  0.288
Pt  0.712  0.288  0.288
Pt  0.712  0.712  0.288
Pt  0.288  0.712  0.712
Cd  0.250  0.250  0.250
Cd  0.750  0.750  0.750
Y  0.000  0.000  0.000

=====

# 13
The following is a GGA-PBE calculation of crystalline YCdPt3 at its relaxed geometry, from the Alexandria database.

Values from the calculation:
Total magnetic moment in μB per formula unit: 0.00
D(E_F) in states/eV/atom: 0.57
ΔE to the lowest computed polymorph in meV per atom: 0
Formation energy from the elements in eV/atom: 0.32
Space-group type: Pm-3m

a = 4.925 Å, b = 4.925 Å, c = 4.925 Å
α = 90.00°, β = 90.00°, γ = 90.00°
Fractional coordinates of all 5 atoms:
Pt  0.500  0.000  0.000
Pt  0.000  0.500  0.000
Pt  0.000  0.000  0.500
Cd  0.000  0.000  0.000
Y  0.500  0.500  0.500

=====

# 14
The following is a GGA-PBE calculation of crystalline Y3CdPt8 at its relaxed geometry, from the Alexandria database.

Values from the calculation:
Total magnetic moment in μB per formula unit: 0.00
D(E_F) in states/eV/atom: 0.52
Formation energy from the elements in eV/atom: -0.97
Space-group type: R3m

a = 5.422 Å, b = 5.422 Å, c = 9.403 Å
α = 73.24°, β = 73.24°, γ = 60.00°
Fractional coordinates of all 12 atoms:
Pt  0.688  0.688  0.936
Pt  0.437  0.942  0.184
Pt  0.942  0.437  0.184
Pt  0.437  0.437  0.184
Pt  0.436  0.937  0.690
Pt  0.188  0.188  0.436
Pt  0.937  0.436  0.690
Pt  0.937  0.937  0.690
Cd  0.871  0.871  0.386
Y  0.506  0.506  0.482
Y  0.993  0.993  0.021
Y  0.378  0.378  0.867

=====

# 15
The following is a GGA-PBE calculation of crystalline YCdPt at its relaxed geometry, from the Alexandria database.

Values from the calculation:
Total magnetic moment in μB per formula unit: 0.00
D(E_F) in states/eV/atom: 0.62
Formation energy from the elements in eV/atom: -0.85
Space-group type: P4/nmm

a = 7.841 Å, b = 4.119 Å, c = 4.119 Å
α = 90.00°, β = 90.00°, γ = 90.00°
Fractional coordinates of all 6 atoms:
Pt  0.227  0.000  0.500
Pt  0.773  0.500  0.000
Y  0.855  0.000  0.500
Y  0.145  0.500  0.000
Cd  0.500  0.500  0.500
Cd  0.500  0.000  0.000

=====

# 16
The following is a GGA-PBE calculation of crystalline Y2Cd2Pt15 at its relaxed geometry, from the Alexandria database.

Values from the calculation:
Total magnetic moment in μB per formula unit: 0.00
D(E_F) in states/eV/atom: 0.83
Formation energy from the elements in eV/atom: -0.47
Space-group type: R-3m

a = 7.030 Å, b = 7.030 Å, c = 7.030 Å
α = 83.03°, β = 83.03°, γ = 83.03°
Fractional coordinates of all 19 atoms:
Pt  0.343  0.343  0.834
Pt  0.000  0.320  0.680
Pt  0.343  0.834  0.343
Pt  0.320  0.000  0.680
Pt  0.657  0.657  0.166
Pt  0.320  0.680  0.000
Pt  0.680  0.000  0.320
Pt  0.834  0.343  0.343
Pt  0.500  0.000  0.000
Pt  0.680  0.320  0.000
Pt  0.000  0.000  0.500
Pt  0.657  0.166  0.657
Pt  0.000  0.680  0.320
Pt  0.166  0.657  0.657
Pt  0.000  0.500  0.000
Cd  0.101  0.101  0.101
Cd  0.899  0.899  0.899
Y  0.644  0.644  0.644
Y  0.356  0.356  0.356

=====

# 17
The following is a GGA-PBE calculation of crystalline YCdPt2 at its relaxed geometry, from the Alexandria database.

Values from the calculation:
Total magnetic moment in μB per formula unit: 0.00
D(E_F) in states/eV/atom: 0.39
Formation energy from the elements in eV/atom: -0.79
Space-group type: P-1

a = 7.176 Å, b = 4.604 Å, c = 3.687 Å
α = 90.10°, β = 59.03°, γ = 124.92°
Fractional coordinates of all 4 atoms:
Pt  0.500  0.000  0.500
Pt  0.000  0.000  0.000
Cd  0.500  0.500  0.000
Y  0.000  0.500  0.500

=====

# 18
The following is a GGA-PBE calculation of crystalline Y5Cd2Pt at its relaxed geometry, from the Alexandria database.

Values from the calculation:
Total magnetic moment in μB per formula unit: 0.00
D(E_F) in states/eV/atom: 0.78
Formation energy from the elements in eV/atom: -0.49
Space-group type: Pbam

a = 5.051 Å, b = 6.840 Å, c = 12.486 Å
α = 90.00°, β = 90.00°, γ = 90.00°
Fractional coordinates of all 16 atoms:
Y  0.000  0.368  0.287
Y  0.000  0.132  0.787
Y  0.000  0.000  0.500
Y  0.000  0.868  0.213
Y  0.000  0.632  0.713
Y  0.500  0.330  0.592
Y  0.500  0.830  0.908
Y  0.500  0.170  0.092
Y  0.000  0.500  0.000
Y  0.500  0.670  0.408
Pt  0.000  0.000  0.000
Pt  0.000  0.500  0.500
Cd  0.500  0.104  0.344
Cd  0.500  0.396  0.844
Cd  0.500  0.604  0.156
Cd  0.500  0.896  0.656

=====

# 19
The following is a GGA-PBE calculation of crystalline Y5CdPt at its relaxed geometry, from the Alexandria database.

Values from the calculation:
Total magnetic moment in μB per formula unit: 0.00
D(E_F) in states/eV/atom: 1.18
Formation energy from the elements in eV/atom: -0.33
Space-group type: C2/c

a = 5.929 Å, b = 5.929 Å, c = 11.997 Å
α = 78.87°, β = 78.87°, γ = 78.32°
Fractional coordinates of all 14 atoms:
Y  0.082  0.426  0.873
Y  0.212  0.535  0.569
Y  0.788  0.465  0.431
Y  0.426  0.082  0.373
Y  0.002  0.998  0.250
Y  0.465  0.788  0.931
Y  0.998  0.002  0.750
Y  0.535  0.212  0.069
Y  0.918  0.574  0.127
Y  0.574  0.918  0.627
Pt  0.000  0.000  0.000
Pt  0.000  0.000  0.500
Cd  0.408  0.592  0.250
Cd  0.592  0.408  0.750

=====

# 20
The following is a GGA-PBE calculation of crystalline YCdPt2 at its relaxed geometry, from the Alexandria database.

Values from the calculation:
Total magnetic moment in μB per formula unit: 0.00
D(E_F) in states/eV/atom: 0.48
Formation energy from the elements in eV/atom: -0.69
Space-group type: R3m

a = 5.409 Å, b = 5.409 Å, c = 5.409 Å
α = 50.42°, β = 50.42°, γ = 50.42°
Fractional coordinates of all 4 atoms:
Pt  0.936  0.936  0.936
Pt  0.316  0.316  0.316
Y  0.517  0.517  0.517
Cd  0.731  0.731  0.731

=====

The following theoretical density values (in g/cm3) correspond, in order, to the records above: 5.3 16.7 9.9 6.3 6.4 10.5 8.0 9.6 12.6 7.8 16.4 13.3 10.9 14.3 9.9 16.2 12.6 6.7 6.2 11.3.
The following total DFT energy (no corrections) values (in eV per cell) correspond, in order, to the records above: -47.05 -48.37 -95.85 -50.48 -64.46 -49.44 -49.49 -32.81 -21.85 -119.83 -76.90 -43.44 -23.92 -80.30 -31.96 -114.28 -22.61 -88.22 -83.22 -22.22.